A PBEsol-optimized structure of Ba2CoSbRu, computed with meta-GGA SCAN.

abc: 4.9424 5.8522 5.8522
angles: 90.00 90.00 90.00
Each line ends with the local moment (μB).
Positions (direct):
Ba 0.0000 0.0000 0.5000  -0.02
Ba 0.0000 0.5000 0.0000  -0.02
Sb 0.5000 0.0000 0.0000  0.00
Co 0.5000 0.5000 0.5000  1.98
Ru 0.0000 0.0000 0.0000  -0.01

Spin magnetization in Bohr magnetons per cell: 1.93
ΔE_f (raw) in eV/f.u.: 1.2

***

A PBEsol-optimized structure of Ba2CoSb, computed with meta-GGA SCAN.

abc: 3.5692 3.5692 9.6800
angles: 90.00 90.00 90.00
Each line ends with the local moment (μB).
Positions (direct):
Ba 0.0000 0.0000 0.9227  0.14
Ba 0.5000 0.5000 0.3295  -0.04
Co 0.0000 0.0000 0.5814  0.19
Sb 0.5000 0.5000 0.6664  0.00

Spin magnetization in Bohr magnetons per cell: 0.51
ΔE_f (raw) in eV/f.u.: 0.5

***

A PBEsol-optimized structure of Ba2CoSb, computed with meta-GGA SCAN.

abc: 4.8101 4.8271 6.3675
angles: 112.27 67.65 90.00
Each line ends with the local moment (μB).
Positions (direct):
Co 0.7501 0.6249 0.2499  0.98
Sb 0.2500 0.6250 0.2500  0.05
Ba 0.9149 0.9599 0.9198  -0.09
Ba 0.5850 0.2901 0.5803  -0.09

Spin magnetization in Bohr magnetons per cell: 0.56
ΔE_f (raw) in eV/f.u.: -1.0

***

A PBEsol-optimized structure of BaCoSb3, computed with meta-GGA SCAN.

abc: 5.0975 5.0975 5.0975
angles: 90.00 90.00 90.00
Each line ends with the local moment (μB).
Positions (direct):
Sb 0.0000 0.5000 0.0000  0.03
Sb 0.5000 0.0000 0.0000  0.03
Sb 0.0000 0.0000 0.5000  0.03
Co 0.0000 0.0000 0.0000  1.29
Ba 0.5000 0.5000 0.5000  0.02

Spin magnetization in Bohr magnetons per cell: 1.55
ΔE_f (raw) in eV/f.u.: -1.0

***

A PBEsol-optimized structure of BaCoSb2, computed with meta-GGA SCAN.

abc: 5.6304 5.6304 8.8218
angles: 108.61 108.61 90.00
Each line ends with the local moment (μB).
Positions (direct):
Co 0.7500 0.2500 0.5000  1.60
Co 0.5000 0.5000 0.0000  1.60
Sb 0.1250 0.3087 0.7500  0.03
Sb 0.6913 0.3750 0.2500  0.03
Sb 0.5587 0.8750 0.2500  0.03
Sb 0.6250 0.4413 0.7500  0.03
Ba 0.2500 0.7500 0.5000  0.04
Ba 0.0000 0.0000 0.0000  0.04

Spin magnetization in Bohr magnetons per cell: 3.77
ΔE_f (raw) in eV/f.u.: -1.0

***

A PBEsol-optimized structure of BaCoSb2, computed with meta-GGA SCAN.

abc: 3.3539 3.8202 8.2720
angles: 103.35 101.70 90.00
Positions (direct):
Sb 0.7379 0.2379 0.4757
Sb 0.9106 0.9106 0.8212
Co 0.2925 0.7925 0.5850
Ba 0.5590 0.5590 0.1181

Spin magnetization in Bohr magnetons per cell: 0.00
ΔE_f (raw) in eV/f.u.: -0.4

***

E_tot: -33.463, -33.282, -33.668, -33.918, -33.098, -32.934 (eV per atom)